Arrangement w

Np2CrS6 | PBE | optimized geometry

Total magnetization ... 16.0 μB per cell

abc: 5.939 6.980 10.324
angles: 90.00 124.51 90.00
Element x y z (fractional)
1 Np 0.200 0.121 0.253
2 Np 0.200 0.379 0.753
3 Np 0.800 0.621 0.247
4 Np 0.800 0.879 0.747
5 Cr 0.500 0.000 0.000
6 Cr 0.500 0.500 0.500
7 S 0.109 0.169 0.945
8 S 0.109 0.331 0.445
9 S 0.292 0.693 0.941
10 S 0.292 0.807 0.441
11 S 0.379 0.036 0.742
12 S 0.379 0.464 0.242
13 S 0.621 0.536 0.758
14 S 0.621 0.964 0.258
15 S 0.708 0.193 0.559
16 S 0.708 0.307 0.059
17 S 0.891 0.669 0.555
18 S 0.891 0.831 0.055

Arrangement x

Np2CrS6 | PBE | optimized geometry

Total magnetization ... 8.0 μB per cell

abc: 6.893 6.893 8.067
angles: 117.41 117.41 42.85
Element x y z (fractional)
1 Np 0.181 0.181 0.116
2 Np 0.819 0.819 0.884
3 Cr 0.000 0.000 0.500
4 S 0.016 0.016 0.221
5 S 0.307 0.307 0.934
6 S 0.369 0.369 0.430
7 S 0.631 0.631 0.570
8 S 0.693 0.693 0.066
9 S 0.984 0.984 0.779

The most stable of them is arrangement w.

Arrangement w

NpCrTc | PBE | optimized geometry

Total magnetization ... 2.3 μB per cell

abc: 6.048 6.048 6.048
angles: 152.13 152.13 39.82
Element x y z (fractional)
1 Np 0.000 0.000 0.000
2 Cr 0.681 0.681 0.000
3 Tc 0.303 0.303 0.000

Arrangement x

NpCrTc | PBE | optimized geometry

Total magnetization ... 0.0 μB per cell

abc: 8.875 8.875 8.875
angles: 158.02 158.02 31.28
Element x y z (fractional)
1 Np 0.223 0.223 0.000
2 Np 0.777 0.777 0.000
3 Cr 0.376 0.376 0.000
4 Cr 0.624 0.624 0.000
5 Tc 0.077 0.077 0.000
6 Tc 0.923 0.923 0.000

The most stable of them is arrangement w.